i | A relaxed structure of SnWOF2, computed with PBE with a Hubbard U. Values from VASP.

Structure (Quantum ESPRESSO input):
```
&SYSTEM
  ibrav = 0, nat = 5, ntyp = 4
/
ATOMIC_SPECIES
W 183.84 W.upf
O 16.00 O.upf
F 19.00 F.upf
Sn 118.71 Sn.upf
ATOMIC_POSITIONS crystal
W 0.500 0.500 0.500
O 0.000 0.000 0.500
F 0.500 0.000 0.000
F 0.000 0.500 0.000
Sn 0.000 0.000 0.000
CELL_PARAMETERS angstrom
-4.135 -0.166 1.716
1.275 -3.298 2.752
1.088 2.836 2.894
```

## Properties
Symmetry: P4/mmm (123)
Density of states at the Fermi level (states/eV/f.u.): 1.561

ii | A relaxed structure of SnWOF2, computed with PBE with a Hubbard U. Values from VASP.

Structure (Quantum ESPRESSO input):
```
&SYSTEM
  ibrav = 0, nat = 5, ntyp = 4
/
ATOMIC_SPECIES
F 19.00 F.upf
W 183.84 W.upf
O 16.00 O.upf
Sn 118.71 Sn.upf
ATOMIC_POSITIONS crystal
F 0.500 0.000 0.000
F 0.000 0.500 0.000
W 0.000 0.000 0.000
O 0.000 0.000 0.500
Sn 0.500 0.500 0.500
CELL_PARAMETERS angstrom
-3.698 -2.193 0.538
0.252 -1.428 -4.083
2.213 -3.407 1.328
```

## Properties
Symmetry: P4/mmm (123)
Density of states at the Fermi level (states/eV/f.u.): 1.814

Of the structures shown above, ii is the most stable.